1.
The following is a DFT calculation (PBE) of a geometry-optimized PuZr7Sc4 structure.

a b c (Å): 6.1057 8.5838 19.5600
angles (deg): 139.08 105.63 59.69
With the nearest neighbours (Å) after each atom.
Element x y z (fractional)
Pu 0.5145 0.7960 0.4937  8 Zr 3.17-3.29, 4 Sc 3.24-3.28
Pu 0.0113 0.2041 0.0063  8 Zr 3.17-3.29, 4 Sc 3.24-3.28
Zr 0.0110 0.6945 0.0847  6 Zr 3.16-3.34, 5 Sc 3.20-3.33, 1 Pu 3.21
Zr 0.5148 0.3055 0.4153  6 Zr 3.16-3.34, 5 Sc 3.20-3.33, 1 Pu 3.21
Zr 0.5178 0.2931 0.9095  7 Zr 3.16-3.29, 1 Pu 3.17, 4 Sc 3.18-3.26
Zr 0.0080 0.7069 0.5906  7 Zr 3.16-3.29, 1 Pu 3.17, 4 Sc 3.18-3.26
Zr 0.0168 0.6994 0.4206  6 Zr 3.14-3.29, 2 Pu 3.19-3.22, 4 Sc 3.21-3.26
Zr 0.5089 0.3005 0.0794  6 Zr 3.14-3.29, 2 Pu 3.19-3.22, 4 Sc 3.21-3.26
Zr 0.5064 0.7931 0.6605  7 Zr 3.14-3.27, 4 Sc 3.18-3.23, 1 Pu 3.29
Zr 0.0193 0.2070 0.8396  7 Zr 3.14-3.27, 4 Sc 3.18-3.23, 1 Pu 3.29
Zr 0.0093 0.2104 0.1707  6 Zr 3.14-3.34, 1 Pu 3.18, 5 Sc 3.18-3.33
Zr 0.5164 0.7896 0.3292  6 Zr 3.14-3.34, 1 Pu 3.18, 5 Sc 3.18-3.33
Zr 0.5140 0.7880 0.9912  7 Zr 3.16-3.28, 1 Pu 3.18, 4 Sc 3.21-3.27
Zr 0.0118 0.2120 0.5088  7 Zr 3.16-3.28, 1 Pu 3.18, 4 Sc 3.21-3.27
Zr 0.0128 0.7157 0.9298  7 Zr 3.16-3.23, 4 Sc 3.20-3.39, 1 Pu 3.21
Zr 0.5130 0.2844 0.5702  7 Zr 3.16-3.22, 4 Sc 3.20-3.39, 1 Pu 3.21
Sc 0.5215 0.7966 0.8280  7 Zr 3.18-3.37, 4 Sc 3.19-3.32, 1 Pu 3.24
Sc 0.0051 0.7137 0.2579  8 Zr 3.19-3.28, 3 Sc 3.20-3.26, 1 Pu 3.28
Sc 0.5207 0.2862 0.2420  8 Zr 3.19-3.28, 3 Sc 3.20-3.26, 1 Pu 3.28
Sc 0.0044 0.2034 0.6720  7 Zr 3.18-3.37, 4 Sc 3.19-3.33, 1 Pu 3.24
Sc 0.0236 0.2003 0.3388  3 Sc 3.12-3.22, 8 Zr 3.18-3.33, 1 Pu 3.26
Sc 0.5023 0.7996 0.1611  3 Sc 3.12-3.22, 8 Zr 3.18-3.33, 1 Pu 3.26
Sc 0.0200 0.7049 0.7534  7 Zr 3.18-3.39, 4 Sc 3.19-3.33, 1 Pu 3.27
Sc 0.5058 0.2952 0.7467  7 Zr 3.18-3.39, 4 Sc 3.19-3.32, 1 Pu 3.27

## Properties
Spin magnetization, Bohr magnetons per cell: 11.2
Calculated formation energy, meV/atom: 8
Calculated volume, Å³ per cell: 568.17

=====

2.
The following is a DFT calculation (PBE) of a geometry-optimized PuZr2Sc structure.

a b c (Å): 3.2510 3.2510 10.6472
angles (deg): 81.22 81.22 60.00
With the nearest neighbours (Å) after each atom.
Element x y z (fractional)
Pu 0.4998 0.4998 0.5005  6 Zr 3.22-3.23, 6 Pu 3.25
Zr 0.0833 0.0833 0.7502  3 Sc 3.22, 3 Pu 3.22, 6 Zr 3.25
Zr 0.2501 0.2501 0.2497  3 Sc 3.22, 3 Pu 3.23, 6 Zr 3.25
Sc 0.6668 0.6668 0.9996  6 Zr 3.22, 6 Sc 3.25

## Properties
ΔE to the lowest computed polymorph, eV per atom: 0.044
Spin magnetization, Bohr magnetons per cell: 5.2
Calculated formation energy, meV/atom: 99
Calculated volume, Å³ per cell: 95.93

=====

3.
The following is a DFT calculation (PBE) of a geometry-optimized Pu2Zr7Sc2 structure.

a b c (Å): 16.1010 5.7601 5.7601
angles (deg): 92.47 127.10 127.10
With the nearest neighbours (Å) after each atom.
Element x y z (fractional)
Pu 0.5000 0.3275 0.6725  1 Pu 2.87, 6 Zr 2.98-3.18
Pu 0.5000 0.6725 0.3275  1 Pu 2.87, 6 Zr 2.98-3.18
Zr 0.2141 0.5067 0.8679  2 Pu 2.98-3.34, 2 Zr 3.00-3.25, 3 Sc 3.03-3.15
Zr 0.7859 0.1321 0.4933  2 Pu 2.98-3.34, 2 Zr 3.00-3.25, 3 Sc 3.03-3.15
Zr 0.7859 0.4933 0.1321  2 Pu 2.98-3.34, 2 Zr 3.00-3.25, 3 Sc 3.03-3.15
Zr 0.2141 0.8679 0.5067  2 Pu 2.98-3.34, 2 Zr 3.00-3.25, 3 Sc 3.03-3.15
Zr 0.0000 0.0000 0.0000  2 Sc 3.02, 6 Zr 3.13-3.35
Zr 0.6044 0.3431 0.3431  4 Zr 3.02-3.25, 4 Pu 3.12-3.18, 1 Sc 3.25
Zr 0.3956 0.6569 0.6569  4 Zr 3.02-3.25, 4 Pu 3.12-3.18, 1 Sc 3.25
Sc 0.1341 0.8811 0.8811  8 Zr 3.02-3.25, 1 Sc 3.13, 2 Pu 3.23
Sc 0.8659 0.1189 0.1189  8 Zr 3.02-3.25, 1 Sc 3.13, 2 Pu 3.23

## Properties
Spin magnetization, Bohr magnetons per cell: 11.7
Calculated formation energy, meV/atom: 156
Calculated volume, Å³ per cell: 261.19

=====

4.
The following is a DFT calculation (PBE) of a geometry-optimized PuZr2Sc structure.

a b c (Å): 4.5469 5.5613 5.5613
angles (deg): 48.45 65.87 65.86
With the nearest neighbours (Å) after each atom.
Element x y z (fractional)
Pu 0.7500 0.7498 0.7502  8 Zr 3.21-3.22, 4 Sc 3.22
Zr 0.9997 0.0002 0.0002  4 Sc 3.21-3.22, 4 Pu 3.21-3.22, 4 Zr 3.22
Zr 0.5003 0.4998 0.4998  4 Sc 3.21-3.22, 4 Pu 3.21-3.22, 4 Zr 3.22
Sc 0.2500 0.2502 0.2498  8 Zr 3.21-3.22, 4 Pu 3.22

## Properties
ΔE to the lowest computed polymorph, eV per atom: 0.004
Spin magnetization, Bohr magnetons per cell: 5.6
Calculated formation energy, meV/atom: 58
Calculated volume, Å³ per cell: 94.07

=====

5.
The following is a DFT calculation (PBE) of a geometry-optimized PuZrSc6 structure.

a b c (Å): 6.4190 6.4190 6.4190
angles (deg): 110.38 110.38 110.38
With the nearest neighbours (Å) after each atom.
Element x y z (fractional)
Pu 0.0000 0.0000 0.0000  2 Zr 3.06, 6 Sc 3.11
Zr 0.5000 0.5000 0.5000  6 Sc 3.06, 2 Pu 3.06
Sc 0.2514 0.7465 0.2514  1 Zr 3.06, 6 Sc 3.06-3.24, 1 Pu 3.11
Sc 0.2514 0.2514 0.7465  1 Zr 3.06, 6 Sc 3.06-3.24, 1 Pu 3.11
Sc 0.7486 0.2535 0.7486  1 Zr 3.06, 6 Sc 3.06-3.24, 1 Pu 3.11
Sc 0.2535 0.7486 0.7486  1 Zr 3.06, 6 Sc 3.06-3.24, 1 Pu 3.11
Sc 0.7486 0.7486 0.2535  1 Zr 3.06, 6 Sc 3.06-3.24, 1 Pu 3.11
Sc 0.7465 0.2514 0.2514  1 Zr 3.06, 6 Sc 3.06-3.24, 1 Pu 3.11

## Properties
ΔE to the lowest computed polymorph, eV per atom: 0.211
Spin magnetization, Bohr magnetons per cell: 6.6
Calculated formation energy, meV/atom: 241
Calculated volume, Å³ per cell: 196.48

=====

6.
The following is a DFT calculation (PBE) of a geometry-optimized PuZr2Sc8 structure.

a b c (Å): 8.5416 9.6816 10.1971
angles (deg): 42.63 146.58 144.95
With the nearest neighbours (Å) after each atom.
Element x y z (fractional)
Pu 0.0000 0.0000 0.0000  8 Sc 3.18-3.25, 4 Zr 3.19-3.23
Zr 0.2753 0.5406 0.9113  1 Zr 3.15, 2 Pu 3.19-3.23, 9 Sc 3.20-3.28
Zr 0.7247 0.4594 0.0887  1 Zr 3.15, 2 Pu 3.19-3.23, 9 Sc 3.20-3.28
Sc 0.5503 0.0873 0.8204  1 Pu 3.18, 9 Sc 3.21-3.30, 2 Zr 3.22-3.23
Sc 0.8219 0.6337 0.7323  10 Sc 3.18-3.30, 2 Zr 3.23-3.26
Sc 0.1002 0.1895 0.6399  9 Sc 3.19-3.30, 2 Zr 3.20-3.28, 1 Pu 3.22
Sc 0.8998 0.8105 0.3601  9 Sc 3.19-3.30, 2 Zr 3.20-3.28, 1 Pu 3.22
Sc 0.1781 0.3663 0.2677  10 Sc 3.18-3.30, 2 Zr 3.23-3.26
Sc 0.4497 0.9127 0.1796  1 Pu 3.18, 9 Sc 3.21-3.30, 2 Zr 3.22-3.23
Sc 0.3638 0.7278 0.5464  7 Sc 3.19-3.27, 3 Zr 3.20-3.23, 2 Pu 3.23-3.25
Sc 0.6362 0.2722 0.4536  7 Sc 3.19-3.27, 3 Zr 3.20-3.23, 2 Pu 3.23-3.25

## Properties
Spin magnetization, Bohr magnetons per cell: 6.0
Calculated formation energy, meV/atom: 31
Calculated volume, Å³ per cell: 263.08

=====

7.
The following is a DFT calculation (PBE) of a geometry-optimized Pu3Zr2Sc8 structure.

a b c (Å): 5.2024 6.5877 9.9767
angles (deg): 109.28 89.98 90.00
With the nearest neighbours (Å) after each atom.
Element x y z (fractional)
Pu 0.5000 0.0000 0.0000  4 Sc 2.79
Pu 0.0000 0.2797 0.0000  3 Pu 2.90-3.19, 2 Sc 3.24
Pu 0.0000 0.7203 0.0000  3 Pu 2.90-3.19, 2 Sc 3.24
Zr 0.4999 0.7559 0.5119  8 Sc 2.95-3.24
Zr 0.5001 0.2441 0.4881  8 Sc 2.95-3.24
Sc 0.0001 0.3177 0.6354  2 Zr 2.95, 4 Sc 3.26
Sc 0.9999 0.6823 0.3646  2 Zr 2.95, 4 Sc 3.26
Sc 0.9998 0.8587 0.7174  2 Pu 3.24, 7 Sc 3.24-3.38, 2 Zr 3.24
Sc 0.0002 0.1413 0.2826  2 Pu 3.24, 7 Sc 3.24-3.38, 2 Zr 3.24
Sc 0.5001 0.8315 0.2226  1 Pu 2.79, 1 Sc 2.90, 2 Zr 3.09-3.11
Sc 0.5001 0.3912 0.2226  1 Pu 2.79, 1 Sc 2.90, 2 Zr 3.09-3.11
Sc 0.4999 0.6088 0.7774  1 Pu 2.79, 1 Sc 2.90, 2 Zr 3.09-3.11
Sc 0.4999 0.1685 0.7774  1 Pu 2.79, 1 Sc 2.90, 2 Zr 3.09-3.11

## Properties
Spin magnetization, Bohr magnetons per cell: 7.3
Calculated formation energy, meV/atom: 302
Calculated volume, Å³ per cell: 322.75

=====

8.
The following is a DFT calculation (PBE) of a geometry-optimized Pu3ZrSc6 structure.

a b c (Å): 5.7835 10.5062 10.5062
angles (deg): 131.15 90.00 90.00
With the nearest neighbours (Å) after each atom.
Element x y z (fractional)
Pu 0.5108 0.9512 0.7024  5 Sc 2.90-3.21, 2 Pu 3.01-3.07, 1 Zr 3.21
Pu 0.0108 0.7024 0.9512  5 Sc 2.90-3.21, 2 Pu 3.01-3.07, 1 Zr 3.21
Pu 0.0864 0.4317 0.5683  5 Sc 2.95-3.18, 2 Pu 3.07
Pu 0.5864 0.5683 0.4317  5 Sc 2.95-3.18, 2 Pu 3.07
Pu 0.0108 0.0488 0.2976  5 Sc 2.90-3.21, 2 Pu 3.01-3.07, 1 Zr 3.21
Pu 0.5108 0.2976 0.0488  5 Sc 2.90-3.21, 2 Pu 3.01-3.07, 1 Zr 3.21
Zr 0.0319 0.1573 0.8427  8 Sc 3.09-3.32, 4 Pu 3.21-3.43
Zr 0.5319 0.8427 0.1573  8 Sc 3.09-3.32, 4 Pu 3.21-3.43
Sc 0.0540 0.7601 0.6230  3 Pu 3.08-3.18, 1 Zr 3.17, 5 Sc 3.23-3.36
Sc 0.5540 0.6230 0.7601  3 Pu 3.08-3.18, 1 Zr 3.17, 5 Sc 3.23-3.36
Sc 0.3198 0.4534 0.8971  2 Pu 2.90-3.14, 4 Sc 3.05-3.23, 1 Zr 3.23
Sc 0.8198 0.8971 0.4534  2 Pu 2.90-3.14, 4 Sc 3.05-3.23, 1 Zr 3.23
Sc 0.2945 0.9914 0.0086  2 Sc 2.91, 4 Pu 3.14-3.21, 1 Zr 3.16
Sc 0.8034 0.3035 0.6965  1 Pu 2.95, 1 Zr 3.09, 6 Sc 3.22-3.29
Sc 0.3034 0.6965 0.3035  1 Pu 2.95, 1 Zr 3.09, 6 Sc 3.22-3.29
Sc 0.7945 0.0086 0.9914  2 Sc 2.91, 4 Pu 3.14-3.21, 1 Zr 3.16
Sc 0.3198 0.1029 0.5466  2 Pu 2.90-3.14, 4 Sc 3.05-3.23, 1 Zr 3.23
Sc 0.8198 0.5466 0.1029  2 Pu 2.90-3.14, 4 Sc 3.05-3.23, 1 Zr 3.23
Sc 0.0540 0.3770 0.2399  3 Pu 3.08-3.18, 1 Zr 3.17, 5 Sc 3.23-3.36
Sc 0.5540 0.2399 0.3770  3 Pu 3.08-3.18, 1 Zr 3.17, 5 Sc 3.23-3.36

## Properties
Spin magnetization, Bohr magnetons per cell: 11.6
Calculated formation energy, meV/atom: 140
Calculated volume, Å³ per cell: 480.70

=====

9.
The following is a DFT calculation (PBE) of a geometry-optimized PuZrSc2 structure.

a b c (Å): 2.9977 6.1408 10.6847
angles (deg): 90.00 98.06 90.00
With the nearest neighbours (Å) after each atom.
Element x y z (fractional)
Pu 0.6264 0.7062 0.2527  2 Pu 3.00, 2 Zr 3.00-3.14, 5 Sc 3.05-3.28
Pu 0.3736 0.2062 0.7473  2 Pu 3.00, 2 Zr 3.00-3.14, 5 Sc 3.05-3.28
Zr 0.6282 0.1952 0.2563  2 Zr 3.00, 2 Pu 3.00-3.14, 5 Sc 3.09-3.22
Zr 0.3718 0.6952 0.7437  2 Zr 3.00, 2 Pu 3.00-3.14, 5 Sc 3.09-3.22
Sc 0.2437 0.9562 0.4873  2 Sc 3.00, 3 Pu 3.15-3.28, 3 Zr 3.15-3.22
Sc 0.7563 0.4562 0.5127  2 Sc 3.00, 3 Pu 3.15-3.28, 3 Zr 3.15-3.22
Sc 0.4975 0.9529 0.9950  4 Sc 3.00-3.07, 2 Pu 3.05-3.12, 2 Zr 3.09-3.14
Sc 0.5025 0.4529 0.0050  4 Sc 3.00-3.07, 2 Pu 3.05-3.12, 2 Zr 3.09-3.14

## Properties
ΔE to the lowest computed polymorph, eV per atom: 0.244
Spin magnetization, Bohr magnetons per cell: 10.4
Calculated formation energy, meV/atom: 316
Calculated volume, Å³ per cell: 194.74

=====

10.
The following is a DFT calculation (PBE) of a geometry-optimized PuZr2Sc6 structure.

a b c (Å): 8.1829 8.6109 8.6109
angles (deg): 75.70 57.19 57.19
With the nearest neighbours (Å) after each atom.
Element x y z (fractional)
Pu 0.2500 0.3221 0.6779  4 Zr 2.95-3.21, 6 Sc 3.22-3.26
Pu 0.7500 0.6779 0.3221  4 Zr 2.95-3.21, 6 Sc 3.22-3.26
Zr 0.9565 0.7056 0.9168  2 Pu 2.95-3.21, 5 Sc 3.08-3.20
Zr 0.5435 0.0832 0.2944  2 Pu 2.95-3.21, 5 Sc 3.08-3.20
Zr 0.0435 0.2944 0.0832  2 Pu 2.95-3.21, 5 Sc 3.08-3.20
Zr 0.4565 0.9168 0.7056  2 Pu 2.95-3.21, 5 Sc 3.08-3.20
Sc 0.4854 0.5175 0.6930  7 Sc 3.12-3.37, 2 Zr 3.16-3.34, 2 Pu 3.22-3.23
Sc 0.0146 0.3070 0.4825  7 Sc 3.12-3.37, 2 Zr 3.16-3.34, 2 Pu 3.22-3.23
Sc 0.5146 0.4825 0.3070  7 Sc 3.12-3.37, 2 Zr 3.16-3.34, 2 Pu 3.22-3.23
Sc 0.9854 0.6930 0.5175  7 Sc 3.12-3.37, 2 Zr 3.16-3.34, 2 Pu 3.22-3.23
Sc 0.7959 0.1170 0.4388  5 Sc 2.95-3.20, 2 Zr 3.08-3.18, 1 Pu 3.26
Sc 0.7041 0.5612 0.8830  5 Sc 2.95-3.20, 2 Zr 3.08-3.18, 1 Pu 3.26
Sc 0.2041 0.8830 0.5612  5 Sc 2.95-3.20, 2 Zr 3.08-3.18, 1 Pu 3.26
Sc 0.2959 0.4388 0.1170  5 Sc 2.95-3.20, 2 Zr 3.08-3.18, 1 Pu 3.26
Sc 0.1106 0.8418 0.0922  4 Sc 2.95-3.12, 2 Zr 3.13-3.20
Sc 0.3894 0.9078 0.1582  4 Sc 2.95-3.12, 2 Zr 3.13-3.20
Sc 0.8894 0.1582 0.9078  4 Sc 2.95-3.12, 2 Zr 3.13-3.20
Sc 0.6106 0.0922 0.8418  4 Sc 2.95-3.12, 2 Zr 3.13-3.20

## Properties
Spin magnetization, Bohr magnetons per cell: 12.2
Calculated formation energy, meV/atom: 77
Calculated volume, Å³ per cell: 427.71

=====

> Which of these has the highest calculated formation energy?

PuZrSc2

=====

> The highest spin magnetization belongs to which entry?

PuZr2Sc6

=====

> The highest calculated formation energy belongs to which entry?

PuZrSc2